This record from the Alexandria database describes a relaxed BaCaBi3 crystal. The functional is PBE-GGA.

Cell lengths 6.2476, 6.2476, 6.2476 Å; angles 90.00, 90.00, 90.00 degrees
Last column: nearest neighbours and their distance in Å.
Space group Pm-3m (No. 221)
Inequivalent atoms, fractional coordinates:
Ba (0.0000, 0.0000, 0.0000)  6 Bi 3.12
Ca (0.5000, 0.5000, 0.5000)  12 Bi 4.42
Bi (0.0000, 0.0000, 0.5000)  2 Ba 3.12

Values from the calculation:
Distance to the lowest polymorph of the same formula   1088.1 meV/atom
Total magnetic moment   0.00 Bohr magnetons per cell
Formation energy from the elements   393 meV per atom

***

This record from the Alexandria database describes a relaxed Al3ZnNi6 crystal. The functional is PBE-GGA.

Cell lengths 6.8376, 4.1522, 8.9302 Å; angles 90.00, 111.27, 90.00 degrees
Last column: nearest neighbours and their distance in Å.
Space group P2_1/m (No. 11)
Inequivalent atoms, fractional coordinates:
Al (0.0427, 0.2500, 0.3809)  9 Ni 2.43-2.60
Al (0.1393, 0.7500, 0.2149)  8 Ni 2.45-2.53, 1 Zn 2.70
Al (0.2780, 0.2500, 0.9858)  11 Ni 2.46-2.68
Zn (0.4554, 0.2500, 0.5832)  8 Ni 2.44-2.54, 1 Al 2.70
Ni (0.0429, 0.7500, 0.9218)  7 Al 2.46-2.61, 5 Ni 2.54-2.68
Ni (0.1619, 0.2500, 0.6847)  5 Al 2.45-2.53, 1 Zn 2.48, 6 Ni 2.50-2.74
Ni (0.2391, 0.7500, 0.5141)  4 Al 2.43-2.52, 3 Zn 2.49-2.54, 2 Ni 2.56-2.67
Ni (0.3442, 0.7500, 0.8200)  8 Ni 2.50-2.56, 4 Al 2.54-2.68
Ni (0.3512, 0.2500, 0.2823)  4 Al 2.48-2.56, 3 Zn 2.52, 5 Ni 2.56-2.73
Ni (0.4374, 0.7500, 0.1249)  1 Zn 2.44, 4 Al 2.45-2.48, 7 Ni 2.50-2.69

Values from the calculation:
Total magnetic moment   0.00 Bohr magnetons per cell
Formation energy from the elements   -466 meV per atom

***

This record from the Alexandria database describes a relaxed La4Ho6Sc crystal. The functional is PBE-GGA.

Cell lengths 6.6922, 6.6922, 16.8807 Å; angles 90.00, 90.00, 90.00 degrees
Last column: nearest neighbours and their distance in Å.
Space group I-42m (No. 121)
Inequivalent atoms, fractional coordinates:
La (0.1877, 0.1877, 0.1759)  1 Sc 3.46, 7 Ho 3.48-3.84, 1 La 3.55
Ho (0.0000, 0.5000, 0.0000)  4 Ho 3.18, 2 Sc 3.35
Ho (0.1752, 0.1752, 0.3817)  3 Ho 3.18-3.32, 3 La 3.48-3.53
Sc (0.0000, 0.0000, 0.0000)  8 Ho 3.35-3.67, 4 La 3.46

Values from the calculation:
Total magnetic moment   0.00 Bohr magnetons per cell
Formation energy from the elements   292 meV per atom

***

This record from the Alexandria database describes a relaxed PmHo4Ru4 crystal. The functional is PBE-GGA.

Cell lengths 8.8058, 8.8058, 5.5625 Å; angles 90.00, 90.00, 90.00 degrees
Last column: nearest neighbours and their distance in Å.
Space group P4_2/n (No. 86, origin choice 2)
Inequivalent atoms, fractional coordinates:
Pm (0.2500, 0.2500, 0.2500)  4 Ru 2.70
Ho (0.0677, 0.6728, 0.1294)  5 Ru 2.78-3.06
Ru (0.0164, 0.6214, 0.6207)  1 Ru 2.54, 1 Pm 2.70, 2 Ho 2.78-2.81

Values from the calculation:
Total magnetic moment   0.00 Bohr magnetons per cell
Formation energy from the elements   -66 meV per atom

***

This record from the Alexandria database describes a relaxed Tm2Mg2Pd crystal. The functional is PBE-GGA.

Cell lengths 3.4583, 3.4583, 19.9920 Å; angles 90.00, 90.00, 90.00 degrees
Last column: nearest neighbours and their distance in Å.
Space group I4/mmm (No. 139)
Inequivalent atoms, fractional coordinates:
Tm (0.0000, 0.0000, 0.0839)  4 Pd 2.97
Mg (0.0000, 0.0000, 0.2988)  8 Mg 3.13-3.46, 4 Tm 3.39
Pd (0.0000, 0.0000, 0.5000)  8 Tm 2.97

Values from the calculation:
Total magnetic moment   0.00 Bohr magnetons per cell
Formation energy from the elements   -407 meV per atom

***

This record from the Alexandria database describes a relaxed CaLuTlPt crystal. The functional is PBE-GGA.

Cell lengths 7.2066, 7.2066, 7.2066 Å; angles 90.00, 90.00, 90.00 degrees
Last column: nearest neighbours and their distance in Å.
Space group F-43m (No. 216)
Inequivalent atoms, fractional coordinates:
Ca (0.0000, 0.0000, 0.0000)  4 Tl 3.12, 4 Pt 3.12
Lu (0.0000, 0.0000, 0.5000)  4 Tl 3.12, 4 Pt 3.12
Tl (0.2500, 0.2500, 0.7500)  4 Ca 3.12, 4 Lu 3.12
Pt (0.2500, 0.2500, 0.2500)  4 Ca 3.12, 4 Lu 3.12

Values from the calculation:
Total magnetic moment   0.00 Bohr magnetons per cell
Formation energy from the elements   -644 meV per atom

***

This record from the Alexandria database describes a relaxed PuThAgIr crystal. The functional is PBE-GGA.

Cell lengths 7.1822, 7.1822, 7.1822 Å; angles 90.00, 90.00, 90.00 degrees
Last column: nearest neighbours and their distance in Å.
Space group F-43m (No. 216)
Inequivalent atoms, fractional coordinates:
Pu (0.0000, 0.0000, 0.0000)  4 Ir 3.11, 4 Ag 3.11
Th (0.0000, 0.0000, 0.5000)  4 Ir 3.11, 4 Ag 3.11
Ag (0.2500, 0.2500, 0.2500)  4 Th 3.11, 4 Pu 3.11
Ir (0.2500, 0.2500, 0.7500)  4 Pu 3.11, 4 Th 3.11

Values from the calculation:
Total magnetic moment   22.25 Bohr magnetons per cell
Formation energy from the elements   -293 meV per atom

***

This record from the Alexandria database describes a relaxed Pu2ZnN crystal. The functional is PBE-GGA.

Cell lengths 3.3389, 3.3389, 24.3789 Å; angles 90.00, 90.00, 120.00 degrees
Last column: nearest neighbours and their distance in Å.
Space group R3m (No. 160, hexagonal axes)
Inequivalent atoms, fractional coordinates:
Pu (0.0000, 0.0000, 0.0000)  3 N 2.40
Pu (0.0000, 0.0000, 0.2154)  3 N 2.41
Zn (0.0000, 0.0000, 0.7731)  6 Pu 3.23-3.28, 6 Zn 3.34
N (0.0000, 0.0000, 0.6080)  6 Pu 2.40-2.41

Values from the calculation:
Distance to the lowest polymorph of the same formula   0.0 meV/atom
Energy relative to the elements, uncorrected   -0.50 eV per atom
Total magnetic moment   0.28 Bohr magnetons per cell

***

This record from the Alexandria database describes a relaxed HoH12C2O4F crystal. The functional is PBE-GGA.

Cell lengths 10.9785, 12.5288, 7.4564 Å; angles 90.00, 122.59, 90.00 degrees
Last column: nearest neighbours and their distance in Å.
Space group C2/c (No. 15)
Inequivalent atoms, fractional coordinates:
Ho (0.0000, 0.0971, 0.2500)  2 F 2.23, 4 O 2.30-2.32
H (0.0256, 0.3781, 0.7314)  1 H 0.75
H (0.0889, 0.3945, 0.1322)  1 H 0.75
H (0.1231, 0.1881, 0.8328)  1 H 0.75
H (0.1275, 0.4408, 0.2060)  1 H 0.75
H (0.1687, 0.1641, 0.9420)  1 H 0.75
H (0.2476, 0.0175, 0.0187)  2 H 1.98-2.00
C (0.2102, 0.2752, 0.5488)  2 O 1.27
O (0.0893, 0.2345, 0.4937)  1 C 1.27
O (0.2267, 0.1472, 0.3249)  1 C 1.27
F (0.0000, 0.0000, 0.0000)  2 Ho 2.23

Values from the calculation:
Total magnetic moment   7.87 Bohr magnetons per cell

***

This record from the Alexandria database describes a relaxed TaVRe crystal. The functional is PBE-GGA.

Cell lengths 2.6785, 2.6785, 13.2716 Å; angles 90.00, 90.00, 90.00 degrees
Last column: nearest neighbours and their distance in Å.
Space group I4mm (No. 107)
Inequivalent atoms, fractional coordinates:
Ta (0.0000, 0.0000, 0.0000)  4 Ta 2.68, 4 V 2.92, 4 Re 2.99
V (0.0000, 0.0000, 0.3323)  4 V 2.68, 4 Re 2.83, 4 Ta 2.92
Re (0.0000, 0.0000, 0.6740)  4 Re 2.68, 4 V 2.83, 4 Ta 2.99

Values from the calculation:
Distance to the lowest polymorph of the same formula   460.7 meV/atom
Total magnetic moment   0.00 Bohr magnetons per cell
Formation energy from the elements   188 meV per atom

***

Result set for energy: -2.720; -5.185; -4.572; -6.751; -3.872; -4.377; -8.659; -10.062; -4.883; -10.952 eV per atom, one per record in the order listed.
Result set for calculated volume: 243.9; 236.3; 756.0; 431.3; 239.1; 374.3; 370.5; 235.4; 864.2; 95.2 Å³/cell, one per record in the order listed.